Record 1
The following is a PBE calculation of La4TmP5 after structural relaxation, from the Alexandria database.

Geometry as CIF:
```
data_La4TmP5
_cell_length_a 9.418
_cell_length_b 9.418
_cell_length_c 5.971
_cell_angle_alpha 90.00
_cell_angle_beta 90.00
_cell_angle_gamma 90.00
_space_group_name_H-M_alt 'I 4/m'
_space_group_IT_number 87
_space_group_name_Hall '-I 4'
loop_
_atom_site_label
_atom_site_type_symbol
_atom_site_fract_x
_atom_site_fract_y
_atom_site_fract_z
_atom_site_occupancy
La1 La 0.098 0.701 0.000 1
Tm1 Tm 0.000 0.000 0.500 1
P1 P 0.000 0.000 0.000 1
P2 P 0.097 0.710 0.500 1
```

Properties
- Total magnetic moment: 0.0 μB/f.u.
- DOS(E_F): 2.5 states/eV per cell
- Calculated density: 5.51 g/cm³
- E_tot: -6.68 eV per atom
- Formation energy: -1.555 eV/atom

Record 2
The following is a PBE calculation of LaTm2P3 after structural relaxation, from the Alexandria database.

Geometry as CIF:
```
data_LaTm2P3
_cell_length_a 4.057
_cell_length_b 5.764
_cell_length_c 12.174
_cell_angle_alpha 90.00
_cell_angle_beta 90.00
_cell_angle_gamma 90.00
_space_group_name_H-M_alt 'I m m m'
_space_group_IT_number 71
_space_group_name_Hall '-I 2 2'
loop_
_atom_site_label
_atom_site_type_symbol
_atom_site_fract_x
_atom_site_fract_y
_atom_site_fract_z
_atom_site_occupancy
La1 La 0.000 0.000 0.000 1
Tm1 Tm 0.000 0.000 0.334 1
P1 P 0.000 0.500 0.000 1
P2 P 0.000 0.500 0.324 1
```

Properties
- Total magnetic moment: 0.0 μB/f.u.
- DOS(E_F): 1.1 states/eV per cell
- Calculated density: 6.65 g/cm³
- E_tot: -6.57 eV per atom
- Formation energy: -1.558 eV/atom